[1]
This record from Alexandria via LeMat-Bulk describes a relaxed structure of AcMn2PbO5. The functional is PBE with a Hubbard U.

Cell and atoms, written as extended XYZ:
```
9
Lattice="4.039 0.000 0.000 0.000 4.039 0.000 0.000 0.000 8.131" Properties=species:S:1:pos:R:3 pbc="T T T"
Ac 0.000 0.000 0.000
Mn 2.020 2.020 2.030
Mn 2.020 2.020 6.101
Pb 0.000 0.000 4.065
O 0.000 2.020 1.625
O 0.000 2.020 6.506
O 2.020 0.000 1.625
O 2.020 0.000 6.506
O 2.020 2.020 4.065
```

Results
For the final energy, the calculation gives -7.190 eV per atom. The spin magnetization is 1.00 μB/atom.

[2]
This record from Alexandria via LeMat-Bulk describes a relaxed structure of Ac2MnPdO5. The functional is PBE with a Hubbard U.

Cell and atoms, written as extended XYZ:
```
18
Lattice="7.109 0.000 0.000 0.000 7.109 0.000 0.000 0.000 5.816" Properties=species:S:1:pos:R:3 pbc="T T T"
Ac 1.230 2.325 0.000
Ac 2.325 5.879 0.000
Ac 4.784 1.230 0.000
Ac 5.879 4.784 0.000
Mn 0.000 0.000 2.908
Mn 3.554 3.554 2.908
Pd 0.000 3.554 2.908
Pd 3.554 0.000 2.908
O 0.000 0.000 0.000
O 1.028 4.583 1.528
O 1.028 4.583 4.288
O 2.526 1.028 1.528
O 2.526 1.028 4.288
O 3.554 3.554 0.000
O 4.583 6.080 1.528
O 4.583 6.080 4.288
O 6.080 2.526 1.528
O 6.080 2.526 4.288
```

Results
For the final energy, the calculation gives -7.037 eV per atom. The spin magnetization is 0.55 μB/atom.

[3]
This record from Alexandria via LeMat-Bulk describes a relaxed structure of Ac2MnPdO6. The functional is PBE with a Hubbard U.

Cell and atoms, written as extended XYZ:
```
10
Lattice="5.703 0.000 0.000 0.000 5.703 0.000 0.000 0.000 4.089" Properties=species:S:1:pos:R:3 pbc="T T T"
Ac 0.000 2.852 0.000
Ac 2.852 0.000 0.000
Mn 0.000 0.000 2.045
Pd 2.852 2.852 2.045
O 0.000 0.000 0.000
O 1.412 1.412 2.045
O 1.412 4.291 2.045
O 2.852 2.852 0.000
O 4.291 1.412 2.045
O 4.291 4.291 2.045
```

Results
For the final energy, the calculation gives -7.248 eV per atom. The spin magnetization is 0.45 μB/atom.

[4]
This record from Alexandria via LeMat-Bulk describes a relaxed structure of AcMn4Pd3O12. The functional is PBE with a Hubbard U.

Cell and atoms, written as extended XYZ:
```
20
Lattice="-3.835 3.835 3.835 3.835 -3.835 3.835 3.835 3.835 -3.835" Properties=species:S:1:pos:R:3 pbc="T T T"
Ac 0.000 0.000 0.000
Mn 1.918 1.918 -1.918
Mn 1.918 -1.918 1.918
Mn -1.918 1.918 1.918
Mn 1.918 1.918 1.918
Pd 3.835 0.000 0.000
Pd 0.000 3.835 0.000
Pd 0.000 0.000 3.835
O 3.835 -1.509 2.472
O 2.326 1.363 0.000
O 5.344 1.363 0.000
O 2.472 3.835 -1.509
O 1.363 0.000 2.326
O 0.000 2.326 1.363
O 3.835 1.509 2.472
O 2.472 3.835 1.509
O 1.363 0.000 5.344
O -1.509 2.472 3.835
O 1.509 2.472 3.835
O 0.000 5.344 1.363
```

Results
For the final energy, the calculation gives -6.803 eV per atom. The spin magnetization is 0.65 μB/atom.

[5]
This record from Alexandria via LeMat-Bulk describes a relaxed structure of Ac4Mn3PdO12. The functional is PBE with a Hubbard U.

Cell and atoms, written as extended XYZ:
```
20
Lattice="-4.032 4.032 4.032 4.032 -4.032 4.032 4.032 4.032 -4.032" Properties=species:S:1:pos:R:3 pbc="T T T"
Ac 2.016 2.016 -2.016
Ac 2.016 -2.016 2.016
Ac -2.016 2.016 2.016
Ac 2.016 2.016 2.016
Mn 4.032 0.000 0.000
Mn 0.000 4.032 0.000
Mn 0.000 0.000 4.032
Pd 0.000 0.000 0.000
O 2.020 0.000 0.000
O 6.044 0.000 0.000
O 0.000 2.020 0.000
O 0.000 0.000 2.020
O 4.032 2.016 0.000
O 4.032 0.000 2.016
O 2.016 4.032 0.000
O 2.016 0.000 4.032
O 0.000 6.044 0.000
O 0.000 4.032 2.016
O 0.000 2.016 4.032
O 0.000 0.000 6.044
```

Results
For the final energy, the calculation gives -7.548 eV per atom. The spin magnetization is 0.65 μB/atom.

[6]
This record from Alexandria via LeMat-Bulk describes a relaxed structure of Ac2MnPtO8. The functional is PBE with a Hubbard U.

Cell and atoms, written as extended XYZ:
```
12
Lattice="5.079 0.000 0.000 0.004 6.097 0.000 2.524 0.043 5.655" Properties=species:S:1:pos:R:3 pbc="T T T"
Ac 1.254 1.454 0.767
Ac 6.352 4.686 4.889
Mn 3.801 0.021 2.828
Pt 3.803 3.070 2.828
O 2.548 1.494 2.958
O 2.550 4.647 2.676
O 3.783 3.307 4.777
O 3.786 5.889 4.741
O 3.819 0.251 0.914
O 3.823 2.833 0.878
O 5.056 1.493 2.980
O 5.058 4.646 2.697
```

Results
For the final energy, the calculation gives -6.939 eV per atom. The spin magnetization is 0.12 μB/atom.

[7]
This record from Alexandria via LeMat-Bulk describes a relaxed structure of AcMn2PtO8. The functional is PBE with a Hubbard U.

Cell and atoms, written as extended XYZ:
```
12
Lattice="5.139 0.000 0.000 -2.570 4.451 0.000 0.000 0.000 7.156" Properties=species:S:1:pos:R:3 pbc="T T T"
Ac 0.000 0.000 0.000
Mn 0.000 2.967 5.163
Mn 2.570 1.484 1.993
Pt 0.000 0.000 3.578
O -0.723 1.343 4.876
O -1.046 4.406 4.876
O 0.801 1.297 2.280
O 0.000 2.967 6.890
O 2.570 1.484 0.266
O 1.769 3.154 4.876
O 3.615 0.045 2.280
O 3.293 3.108 2.280
```

Results
For the final energy, the calculation gives -6.695 eV per atom. The spin magnetization is 0.42 μB/atom.

[8]
This record from Alexandria via LeMat-Bulk describes a relaxed structure of AcPuMnO6. The functional is PBE with a Hubbard U.

Cell and atoms, written as extended XYZ:
```
18
Lattice="6.029 0.000 0.000 -3.014 5.221 0.000 0.000 0.000 8.547" Properties=species:S:1:pos:R:3 pbc="T T T"
Ac 0.000 3.481 2.137
Ac 3.014 1.740 6.411
Pu 0.000 3.481 6.411
Pu 3.014 1.740 2.137
Mn 0.000 0.000 0.000
Mn 0.000 0.000 4.274
O -0.753 1.944 5.322
O -1.707 3.597 7.499
O 0.753 1.944 7.499
O -0.954 4.901 5.322
O 2.060 0.320 1.049
O 1.307 1.624 3.225
O 1.707 3.597 5.322
O 0.954 4.901 7.499
O 3.969 0.320 3.225
O 2.261 3.277 1.049
O 4.722 1.624 1.049
O 3.767 3.277 3.225
```

Results
For the final energy, the calculation gives -8.548 eV per atom. The spin magnetization is 0.67 μB/atom.